The following is a PBE-GGA calculation of an optimized crystal structure of TlMo2OsPd, from Alexandria via LeMat-Bulk.

The structure in POSCAR format:
```
TlMo2OsPd
1.0
4.721 0.000 0.000
0.000 4.997 0.000
0.000 0.000 4.721
Tl Os Mo Pd
1 1 2 1
Direct
0.500 0.500 0.500 Tl
0.000 0.000 0.000 Os
0.000 0.000 0.500 Mo
0.500 0.000 0.000 Mo
0.000 0.500 0.000 Pd
```

Computed properties:
raw total energy	-6.7198	eV per atom